## ZnCrPbO4 (PBE+U)

Data for a relaxed ZnCrPbO4 crystal.

Results
DOS(E_F)	8.36	states/eV per cell
total DFT energy (no corrections)	-165.581	eV for the cell shown
total magnetization	0.348	μB/atom

a = 6.299 Å, b = 6.441 Å, c = 9.137 Å
α = 90.00°, β = 90.00°, γ = 90.00°
Space group Imma (No. 74)
Asymmetric unit:
Zn: 0.000 0.250 0.117 (multiplicity 4)
Cr: 0.250 0.250 0.750 (multiplicity 4)
Pb: 0.000 0.000 0.500 (multiplicity 4)
O: 0.000 0.033 0.756 (multiplicity 8)
O: 0.238 0.250 0.972 (multiplicity 8)